No. 1
Entry from the Alexandria database: a relaxed structure of Hf2ZnBi (GGA-PBE).

Cell lengths 3.8495, 3.8495, 21.3919 Å; angles 90.00, 90.00, 120.00 degrees
Closest atoms and distances in Å follow each position.
Sites, in units of the cell vectors:
Hf1 0.0000 0.0000 0.2400  3 Zn 2.72, 3 Bi 2.99
Hf2 0.0000 0.0000 0.7600  3 Zn 2.72, 3 Bi 2.99
Hf3 0.3333 0.6667 0.4266  3 Zn 2.72, 3 Bi 2.99
Hf4 0.3333 0.6667 0.9067  3 Zn 2.72, 3 Bi 2.99
Hf5 0.6667 0.3333 0.0933  3 Zn 2.72, 3 Bi 2.99
Hf6 0.6667 0.3333 0.5734  3 Zn 2.72, 3 Bi 2.99
Zn1 0.0000 0.0000 0.5000  6 Hf 2.72
Zn2 0.3333 0.6667 0.1667  6 Hf 2.72
Zn3 0.6667 0.3333 0.8333  6 Hf 2.72
Bi1 0.0000 0.0000 0.0000  6 Hf 2.99
Bi2 0.3333 0.6667 0.6667  6 Hf 2.99
Bi3 0.6667 0.3333 0.3333  6 Hf 2.99

Output
- excess energy over the best structure of this formula in the dataset (eV/f.u.) = 0.36
- ΔH_f (0 K) (eV per formula unit) = 0.28


No. 2
Entry from the Alexandria database: a relaxed structure of Sm3PuSb4 (GGA-PBE).

Cell lengths 6.3081, 6.3081, 6.3081 Å; angles 90.00, 90.00, 90.00 degrees
Closest atoms and distances in Å follow each position.
Sites, in units of the cell vectors:
Sm1 0.0000 0.0000 0.5000  6 Sb 3.15
Sm2 0.0000 0.5000 0.0000  6 Sb 3.15
Sm3 0.5000 0.0000 0.0000  6 Sb 3.15
Pu1 0.5000 0.5000 0.5000  6 Sb 3.15
Sb1 0.0000 0.0000 0.0000  6 Sm 3.15
Sb2 0.0000 0.5000 0.5000  4 Sm 3.15, 2 Pu 3.15
Sb3 0.5000 0.0000 0.5000  4 Sm 3.15, 2 Pu 3.15
Sb4 0.5000 0.5000 0.0000  4 Sm 3.15, 2 Pu 3.15

Output
- excess energy over the best structure of this formula in the dataset (eV/f.u.) = 0.02
- ΔE_f (raw) (kcal/mol of atoms) = -23.6


No. 3
Entry from the Alexandria database: a relaxed structure of Sr2RhS (GGA-PBE).

Cell lengths 7.8152, 7.8152, 7.2983 Å; angles 90.00, 90.00, 90.00 degrees
Closest atoms and distances in Å follow each position.
Sites, in units of the cell vectors:
Sr1 0.2486 0.2500 0.1250  2 S 2.90, 2 Rh 2.92
Sr2 0.2500 0.7486 0.3750  2 S 2.90, 2 Rh 2.92
Sr3 0.2500 0.7514 0.8750  2 S 2.90, 2 Rh 2.92
Sr4 0.2514 0.2500 0.6250  2 S 2.90, 2 Rh 2.92
Sr5 0.7486 0.7500 0.6250  2 S 2.90, 2 Rh 2.92
Sr6 0.7500 0.2486 0.8750  2 S 2.90, 2 Rh 2.92
Sr7 0.7500 0.2514 0.3750  2 S 2.90, 2 Rh 2.92
Sr8 0.7514 0.7500 0.1250  2 S 2.90, 2 Rh 2.92
Rh1 0.0000 0.0000 0.5000  4 Sr 2.92
Rh2 0.0000 0.5000 0.7500  4 Sr 2.92
Rh3 0.5000 0.0000 0.2500  4 Sr 2.92
Rh4 0.5000 0.5000 0.0000  4 Sr 2.92
S1 0.0000 0.0000 0.0000  4 Sr 2.90
S2 0.0000 0.5000 0.2500  4 Sr 2.90
S3 0.5000 0.0000 0.7500  4 Sr 2.90
S4 0.5000 0.5000 0.5000  4 Sr 2.90

Output
- ΔE_f (raw) (kcal/mol of atoms) = -13.1


No. 4
Entry from the Alexandria database: a relaxed structure of CaGa2Cu9 (GGA-PBE).

Cell lengths 7.9202, 7.9202, 7.9202 Å; angles 100.08, 100.08, 130.53 degrees
Closest atoms and distances in Å follow each position.
Sites, in units of the cell vectors:
Ca1 0.3750 0.6250 0.7500  18 Cu 3.19-3.31, 4 Ga 3.56
Ca2 0.6250 0.3750 0.2500  18 Cu 3.19-3.31, 4 Ga 3.56
Ga1 0.0000 0.0000 0.0000  10 Cu 2.49-2.67
Ga2 0.0000 0.0000 0.5000  10 Cu 2.49-2.67
Ga3 0.0000 0.5000 0.0000  10 Cu 2.49-2.67
Ga4 0.5000 0.0000 0.5000  10 Cu 2.49-2.67
Cu1 0.1250 0.8750 0.2500  4 Ga 2.67, 8 Cu 2.78
Cu2 0.1402 0.5590 0.3362  2 Ga 2.49-2.53, 7 Cu 2.49-2.78
Cu3 0.1402 0.8040 0.5812  2 Ga 2.49-2.53, 7 Cu 2.49-2.78
Cu4 0.1960 0.2772 0.3362  2 Ga 2.49-2.53, 7 Cu 2.49-2.78
Cu5 0.1960 0.8598 0.9188  2 Ga 2.49-2.53, 7 Cu 2.49-2.78
Cu6 0.2772 0.1960 0.8362  2 Ga 2.49-2.53, 7 Cu 2.49-2.78
Cu7 0.2772 0.4410 0.0812  2 Ga 2.49-2.53, 7 Cu 2.49-2.78
Cu8 0.4410 0.2772 0.5812  2 Ga 2.49-2.53, 7 Cu 2.49-2.78
Cu9 0.4410 0.8598 0.1638  2 Ga 2.49-2.53, 7 Cu 2.49-2.78
Cu10 0.5590 0.1402 0.8362  2 Ga 2.49-2.53, 7 Cu 2.49-2.78
Cu11 0.5590 0.7228 0.4188  2 Ga 2.49-2.53, 7 Cu 2.49-2.78
Cu12 0.7228 0.5590 0.9188  2 Ga 2.49-2.53, 7 Cu 2.49-2.78
Cu13 0.7228 0.8040 0.1638  2 Ga 2.49-2.53, 7 Cu 2.49-2.78
Cu14 0.8040 0.1402 0.0812  2 Ga 2.49-2.53, 7 Cu 2.49-2.78
Cu15 0.8040 0.7228 0.6638  2 Ga 2.49-2.53, 7 Cu 2.49-2.78
Cu16 0.8598 0.1960 0.4188  2 Ga 2.49-2.53, 7 Cu 2.49-2.78
Cu17 0.8598 0.4410 0.6638  2 Ga 2.49-2.53, 7 Cu 2.49-2.78
Cu18 0.8750 0.1250 0.7500  4 Ga 2.67, 8 Cu 2.78

Output
- excess energy over the best structure of this formula in the dataset (eV/f.u.) = 0.00
- ΔH_f (0 K) (eV per formula unit) = -1.49


No. 5
Entry from the Alexandria database: a relaxed structure of USbRu (GGA-PBE).

Cell lengths 7.3657, 7.3657, 3.9907 Å; angles 90.00, 90.00, 120.00 degrees
Closest atoms and distances in Å follow each position.
Sites, in units of the cell vectors:
U1 0.0000 0.5872 0.0000  5 Ru 2.99-3.04, 6 Sb 3.14-3.33
U2 0.4128 0.4128 0.0000  5 Ru 2.99-3.04, 6 Sb 3.14-3.33
U3 0.5872 0.0000 0.0000  5 Ru 2.99-3.04, 6 Sb 3.14-3.33
Sb1 0.0000 0.2581 0.5000  4 Ru 2.76-2.77
Sb2 0.2581 0.0000 0.5000  4 Ru 2.76-2.77
Sb3 0.7419 0.7419 0.5000  4 Ru 2.76-2.77
Ru1 0.0000 0.0000 0.0000  6 Sb 2.76, 3 U 3.04
Ru2 0.3333 0.6667 0.5000  3 Sb 2.77, 6 U 2.99
Ru3 0.6667 0.3333 0.5000  3 Sb 2.77, 6 U 2.99

Output
- ΔE_f (raw) (kcal/mol of atoms) = -7.5


No. 6
Entry from the Alexandria database: a relaxed structure of Dy7Y3Er (GGA-PBE).

Cell lengths 8.4077, 8.4077, 5.7868 Å; angles 110.10, 110.10, 82.85 degrees
Closest atoms and distances in Å follow each position.
Sites, in units of the cell vectors:
Dy1 0.0000 0.0000 0.0000  2 Er 2.89
Dy2 0.0985 0.5059 0.3025  2 Y 3.17-3.53, 3 Dy 3.28-3.45
Dy3 0.2895 0.2895 0.7905  1 Er 3.24, 2 Y 3.29, 2 Dy 3.45
Dy4 0.4941 0.9015 0.6975  2 Y 3.17-3.53, 3 Dy 3.28-3.45
Dy5 0.5059 0.0985 0.3025  2 Y 3.17-3.53, 3 Dy 3.28-3.45
Dy6 0.7105 0.7105 0.2095  1 Er 3.24, 2 Y 3.29, 2 Dy 3.45
Dy7 0.9015 0.4941 0.6975  2 Y 3.17-3.53, 3 Dy 3.28-3.45
Y1 0.2934 0.7066 0.0000  9 Dy 3.26-3.64
Y2 0.5000 0.5000 0.5000  4 Dy 3.17
Y3 0.7066 0.2934 0.0000  9 Dy 3.26-3.64
Er1 0.0000 0.0000 0.5000  2 Dy 2.89

Output
- excess energy over the best structure of this formula in the dataset (eV/f.u.) = 1.37
- ΔH_f (0 K) (eV per formula unit) = 3.03


No. 7
Entry from the Alexandria database: a relaxed structure of Sb4MoRu (GGA-PBE).

Cell lengths 5.9939, 5.9939, 5.9939 Å; angles 60.00, 60.00, 60.00 degrees
Closest atoms and distances in Å follow each position.
Sites, in units of the cell vectors:
Sb1 0.1255 0.1255 0.1255  6 Sb 2.99-3.01
Sb2 0.1255 0.1255 0.6235  6 Sb 2.99-3.01
Sb3 0.1255 0.6235 0.1255  6 Sb 2.99-3.01
Sb4 0.6235 0.1255 0.1255  6 Sb 2.99-3.01
Mo1 0.7500 0.7500 0.7500  12 Sb 3.52, 4 Ru 3.67
Ru1 0.5000 0.5000 0.5000  12 Sb 3.51, 4 Mo 3.67

Output
- ΔE_f (raw) (kcal/mol of atoms) = 30.0


No. 8
Entry from the Alexandria database: a relaxed structure of Ac6SbS12 (GGA-PBE).

Cell lengths 8.3708, 8.3708, 8.3708 Å; angles 98.36, 98.36, 98.36 degrees
Closest atoms and distances in Å follow each position.
Sites, in units of the cell vectors:
Ac1 0.1230 0.6386 0.8010  7 S 2.92-3.14
Ac2 0.1990 0.8770 0.3614  7 S 2.92-3.14
Ac3 0.3614 0.1990 0.8770  7 S 2.92-3.14
Ac4 0.6386 0.8010 0.1230  7 S 2.92-3.14
Ac5 0.8010 0.1230 0.6386  7 S 2.92-3.14
Ac6 0.8770 0.3614 0.1990  7 S 2.92-3.14
Sb1 0.5000 0.5000 0.5000  6 S 2.59
S1 0.0564 0.3210 0.9122  4 Ac 2.92-3.02
S2 0.0878 0.9436 0.6790  4 Ac 2.92-3.02
S3 0.1938 0.5273 0.4472  1 Sb 2.59
S4 0.3210 0.9122 0.0564  4 Ac 2.92-3.02
S5 0.4472 0.1938 0.5273  1 Sb 2.59
S6 0.4727 0.5528 0.8062  1 Sb 2.59
S7 0.5273 0.4472 0.1938  1 Sb 2.59
S8 0.5528 0.8062 0.4727  1 Sb 2.59
S9 0.6790 0.0878 0.9436  4 Ac 2.92-3.02
S10 0.8062 0.4727 0.5528  1 Sb 2.59
S11 0.9122 0.0564 0.3210  4 Ac 2.92-3.02
S12 0.9436 0.6790 0.0878  4 Ac 2.92-3.02

Output
- ΔE_f (raw) (kcal/mol of atoms) = -38.9


No. 9
Entry from the Alexandria database: a relaxed structure of AcNiHg (GGA-PBE).

Cell lengths 17.3682, 4.1440, 4.2196 Å; angles 90.00, 90.22, 90.00 degrees
Closest atoms and distances in Å follow each position.
Sites, in units of the cell vectors:
Ac1 0.0985 0.0000 0.2518  6 Ni 3.13-3.14, 5 Hg 3.45-3.47
Ac2 0.4015 0.5000 0.7482  6 Ni 3.13-3.14, 5 Hg 3.45-3.47
Ac3 0.5985 0.5000 0.2518  6 Ni 3.13-3.14, 5 Hg 3.45-3.47
Ac4 0.9015 0.0000 0.7482  6 Ni 3.13-3.14, 5 Hg 3.45-3.47
Ni1 0.0370 0.5000 0.7506  2 Ni 2.47
Ni2 0.4630 0.0000 0.2494  2 Ni 2.47
Ni3 0.5370 0.0000 0.7506  2 Ni 2.47
Ni4 0.9630 0.5000 0.2494  2 Ni 2.47
Hg1 0.2027 0.5000 0.7527  1 Ni 2.88
Hg2 0.2973 0.0000 0.2473  1 Ni 2.88
Hg3 0.7027 0.0000 0.7527  1 Ni 2.88
Hg4 0.7973 0.5000 0.2473  1 Ni 2.88

Output
- excess energy over the best structure of this formula in the dataset (eV/f.u.) = 0.00
- ΔH_f (0 K) (eV per formula unit) = -1.17


No. 10
Entry from the Alexandria database: a relaxed structure of Tb3CePm2Te6 (GGA-PBE).

Cell lengths 9.9083, 9.9083, 8.9201 Å; angles 103.56, 103.56, 25.61 degrees
Closest atoms and distances in Å follow each position.
Sites, in units of the cell vectors:
Tb1 0.0000 0.0000 0.0000  6 Te 3.09-3.10
Tb2 0.3326 0.3326 0.6658  6 Te 3.07-3.10
Tb3 0.6674 0.6674 0.3342  6 Te 3.07-3.10
Ce1 0.0000 0.0000 0.5000  6 Te 3.16-3.17
Pm1 0.3340 0.3340 0.1680  6 Te 3.16-3.17
Pm2 0.6660 0.6660 0.8320  6 Te 3.16-3.17
Te1 0.1653 0.1653 0.0878  3 Tb 3.10, 3 Pm 3.16-3.17
Te2 0.1687 0.1687 0.5790  3 Tb 3.07-3.09, 2 Pm 3.16, 1 Ce 3.16
Te3 0.4978 0.4978 0.7556  3 Tb 3.09-3.10, 1 Pm 3.16, 2 Ce 3.17
Te4 0.5022 0.5022 0.2444  3 Tb 3.09-3.10, 1 Pm 3.16, 2 Ce 3.17
Te5 0.8313 0.8313 0.4210  3 Tb 3.07-3.09, 2 Pm 3.16, 1 Ce 3.16
Te6 0.8347 0.8347 0.9122  3 Tb 3.10, 3 Pm 3.16-3.17

Output
- ΔE_f (raw) (kcal/mol of atoms) = -31.3


No. 11
Entry from the Alexandria database: a relaxed structure of RbPmPbBr6 (GGA-PBE).

Cell lengths 7.7673, 7.7673, 14.8925 Å; angles 90.00, 90.00, 120.00 degrees
Closest atoms and distances in Å follow each position.
Sites, in units of the cell vectors:
Rb1 0.0000 0.0000 0.0000  6 Br 3.54
Rb2 0.0000 0.0000 0.5000  6 Br 3.54
Pm1 0.3333 0.6667 0.2500  6 Br 2.90
Pm2 0.6667 0.3333 0.7500  6 Br 2.90
Pb1 0.3333 0.6667 0.7500  6 Br 3.06
Pb2 0.6667 0.3333 0.2500  6 Br 3.06
Br1 0.0159 0.3792 0.1372  1 Pm 2.90, 1 Pb 3.06
Br2 0.0159 0.6367 0.3628  1 Pm 2.90, 1 Pb 3.06
Br3 0.3633 0.3792 0.3628  1 Pm 2.90, 1 Pb 3.06
Br4 0.3633 0.9841 0.1372  1 Pm 2.90, 1 Pb 3.06
Br5 0.3792 0.0159 0.6372  1 Pm 2.90, 1 Pb 3.06
Br6 0.3792 0.3633 0.8628  1 Pm 2.90, 1 Pb 3.06
Br7 0.6208 0.6367 0.1372  1 Pm 2.90, 1 Pb 3.06
Br8 0.6208 0.9841 0.3628  1 Pm 2.90, 1 Pb 3.06
Br9 0.6367 0.0159 0.8628  1 Pm 2.90, 1 Pb 3.06
Br10 0.6367 0.6208 0.6372  1 Pm 2.90, 1 Pb 3.06
Br11 0.9841 0.3633 0.6372  1 Pm 2.90, 1 Pb 3.06
Br12 0.9841 0.6208 0.8628  1 Pm 2.90, 1 Pb 3.06

Output
- ΔE_f (raw) (kcal/mol of atoms) = -36.0


Total DFT energy (no corrections), record by record: -74.34, -53.16, -68.47, -92.82, -76.98, -53.14, -28.79, -110.32, -45.46, -64.47, -67.03 eV for the cell shown